Below is a relaxed structure of PaTi2NbN4, with properties calculated at the PBE-GGA level.

```
PaTi2NbN4
1.0
5.3801 0.0000 0.0000
0.0000 3.1697 0.0000
-1.7951 0.0000 5.3167
Pa Ti Nb N
1 2 1 4
Cartesian
0.0000 0.0000 0.0000
-0.8976 1.5849 2.6584
1.7925 0.0000 2.6584
2.6900 1.5849 0.0000
0.0217 0.0000 3.8598
0.9244 1.5849 1.5071
2.6605 1.5849 3.8096
3.5632 0.0000 1.4569
```

Below is a relaxed structure of KNp2AgTe4, with properties calculated at the PBE-GGA level.

```
KNp2AgTe4
1.0
2.2488 -7.5171 0.0000
2.2488 7.5171 0.0000
0.0000 0.0000 15.7844
K Np Ag Te
2 4 2 8
Cartesian
2.2488 5.6566 11.8383
2.2488 -5.6566 3.9461
2.2488 1.9600 8.9436
2.2488 1.9600 14.7330
2.2488 -1.9600 1.0514
2.2488 -1.9600 6.8408
2.2488 5.1386 3.9461
2.2488 -5.1386 11.8383
0.0000 0.0000 0.0000
0.0000 0.0000 7.8922
2.2488 3.4823 1.6799
2.2488 3.4823 6.2123
2.2488 0.7556 11.8383
2.2488 -0.7556 3.9461
2.2488 -3.4823 9.5720
2.2488 -3.4823 14.1045
```

PmGa5Rh2, optimized geometry, DFT PBE-GGA; DFT formation energy = -610 meV per atom
1.0
-1.9923 3.5893 5.0705
1.9923 -3.5893 5.0705
1.9923 3.5893 -5.0705
Pm Ga Rh
1 5 2
Cartesian
0.0000 0.0000 0.0000
1.9923 2.1706 -1.4784
1.9923 2.1706 1.4784
0.0000 3.5893 0.0000
0.0000 1.4187 3.5921
0.0000 1.4187 6.5489
1.9923 0.0000 2.6605
0.0000 3.5893 2.4099

Below is a relaxed structure of YSeBr2, with properties calculated at the PBE-GGA level.

```
YSeBr2
1.0
3.9015 0.0000 0.0000
0.0000 3.9015 0.0000
0.0000 0.0000 7.8264
Y Se Br
1 1 2
Cartesian
0.0000 0.0000 0.0000
1.9508 1.9508 6.9162
0.0000 0.0000 5.0503
1.9508 1.9508 2.0424
```

Below is a relaxed structure of Cd3BiBr, with properties calculated at the PBE-GGA level.

```
Cd3BiBr
1.0
5.8607 0.0000 0.0000
0.0000 5.8607 0.0000
0.0000 0.0000 5.8607
Cd Bi Br
3 1 1
Cartesian
0.0000 0.0000 2.9304
0.0000 2.9304 0.0000
2.9304 0.0000 0.0000
0.0000 0.0000 0.0000
2.9304 2.9304 2.9304
```

Below is a relaxed structure of GaRePdI2, with properties calculated at the PBE-GGA level.

```
GaRePdI2
1.0
5.6684 0.0000 0.0000
0.0000 5.6684 0.0000
0.0000 0.0000 5.0131
Ga Re Pd I
1 1 1 2
Cartesian
0.0000 0.0000 0.0000
0.0000 0.0000 2.5066
2.8342 2.8342 2.5066
0.0000 2.8342 0.0000
2.8342 0.0000 0.0000
```

Below is a relaxed structure of La2ThTe2As2, with properties calculated at the PBE-GGA level.

```
La2ThTe2As2
1.0
-2.7767 2.7767 8.0562
2.7767 -2.7767 8.0562
2.7767 2.7767 -8.0562
La Th Te As
2 1 2 2
Cartesian
0.0000 0.0000 1.8685
0.0000 0.0000 14.2440
0.0000 0.0000 8.0562
0.0000 0.0000 4.9702
0.0000 0.0000 11.1423
2.7767 0.0000 0.0000
0.0000 2.7767 0.0000
```

Below is a relaxed structure of CsBiSe2, with properties calculated at the PBE-GGA level.

```
CsBiSe2
1.0
2.1867 1.2625 8.4663
-2.1867 1.2625 8.4663
0.0000 -2.5249 8.4663
Cs Bi Se
1 1 2
Cartesian
0.0000 0.0000 0.0000
0.0000 0.0000 4.2741
0.0000 0.0000 14.3647
0.0000 0.0000 19.5756
```

Result set for VASP energy: -10.0333, -5.9713, -4.9339, -4.4321, -1.6262, -3.3115, -5.8386, -3.6999 eV/atom, one per record in the order listed.